# NaCoRuO4 (GGA+U, relaxed)
# Energy = -0.2258 Ha/atom
data_NaCoRuO4
_chemical_formula_sum 'Na4 Co4 Ru4 O16'
_space_group_name_H-M_alt 'I m m a'
_space_group_IT_number 74
_space_group_name_Hall '-I 2b 2'
_cell_length_a 5.964
_cell_length_b 6.067
_cell_length_c 8.855
_cell_angle_alpha 90.00
_cell_angle_beta 90.00
_cell_angle_gamma 90.00
loop_
_atom_site_label
_atom_site_type_symbol
_atom_site_fract_x
_atom_site_fract_y
_atom_site_fract_z
Na1 Na 0.000 0.250 0.131
Co1 Co 0.250 0.250 0.750
Ru1 Ru 0.000 0.000 0.500
O1 O 0.000 0.043 0.727
O2 O 0.223 0.250 0.529